[1]
DFT (PBE) results for crystalline DyTm2Pt at its relaxed geometry.

It has space group P4/mmm (No. 123), with a = 3.527 Å, b = 3.527 Å, c = 8.325 Å, α = 90.00°, β = 90.00° and γ = 90.00°. Symmetry generates all atoms from Dy at (0.000, 0.000, 0.000), Tm at (0.500, 0.500, 0.305) and Pt at (0.000, 0.000, 0.500).

The offset from the most stable computed form is 0.116 eV per atom. The value obtained for the energy of formation is -0.624 eV/atom.

---

[2]
DFT (PBE) results for crystalline AsWSe2 at its relaxed geometry.

It has space group Cmm2 (No. 35), with a = 3.271 Å, b = 4.722 Å, c = 10.375 Å, α = 90.00°, β = 90.00° and γ = 90.00°. Symmetry generates all atoms from As at (0.000, 0.000, 0.000), W at (0.000, 0.500, 0.801), Se at (0.000, 0.000, 0.602) and Se at (0.000, 0.500, 0.297).

Its uncorrected formation energy is 0.37 eV per atom.

---

[3]
DFT (PBE) results for crystalline SmGdYHo at its relaxed geometry.

It has space group F-43m (No. 216), with a = 8.061 Å, b = 8.061 Å, c = 8.061 Å, α = 90.00°, β = 90.00° and γ = 90.00°. Symmetry generates all atoms from Sm at (0.000, 0.000, 0.000), Gd at (0.000, 0.000, 0.500), Y at (0.250, 0.250, 0.250) and Ho at (0.250, 0.250, 0.750).

The value obtained for the energy of formation is 0.113 eV/atom.

---

[4]
DFT (PBE) results for crystalline Rb2Cd3SnBi4 at its relaxed geometry.

It has space group P-4m2 (No. 115), with a = 5.476 Å, b = 5.476 Å, c = 11.864 Å, α = 90.00°, β = 90.00° and γ = 90.00°. Symmetry generates all atoms from Rb at (0.000, 0.500, 0.247), Cd at (0.000, 0.500, 0.878), Cd at (0.500, 0.500, 0.500), Sn at (0.000, 0.000, 0.500), Bi at (0.000, 0.000, 0.000), Bi at (0.000, 0.500, 0.623) and Bi at (0.500, 0.500, 0.000).

The value obtained for the energy of formation is -0.184 eV/atom.

---

[5]
DFT (PBE) results for crystalline Na2TlCd2Sn2 at its relaxed geometry.

It has space group R-3m (No. 166, hexagonal axes), with a = 5.1708 Å, b = 5.1708 Å, c = 25.8957 Å, α = 90.00°, β = 90.00° and γ = 120.00°. Symmetry generates all atoms from Na at (0.0000, 0.0000, 0.1311), Tl at (0.0000, 0.0000, 0.0000), Cd at (0.0000, 0.0000, 0.3940) and Sn at (0.0000, 0.0000, 0.2594).

The value obtained for the energy of formation is -0.069 eV/atom.

---

[6]
DFT (PBE) results for crystalline Ca2BeInAu6 at its relaxed geometry.

It has space group P-1 (No. 2), with a = 6.323 Å, b = 6.365 Å, c = 7.192 Å, α = 90.09°, β = 113.01° and γ = 119.73°. Symmetry generates all atoms from Ca at (0.001, 0.251, 0.191), Be at (0.500, 0.000, 0.500), In at (0.500, 0.500, 0.000), Au at (0.043, 0.775, 0.272), Au at (0.363, 0.664, 0.640) and Au at (0.367, 0.202, 0.642).

The value obtained for the energy of formation is -0.409 eV/atom.

---

Density of states at the Fermi level for the records above, in order: 1.232, 0.410, 2.175, 0.311, 0.472, 0.351 states/eV per atom